(1)
Here is MgZrGe2N after structural relaxation from Alexandria via LeMat-Bulk. Energies are from PBE-GGA.

Its raw formation energy is 0.13 eV/atom. As for the crystal system: tetragonal. The calculation puts the total magnetic moment at 0.08 μB/atom.

It has space group P4/mmm (No. 123), with a = 4.605 Å, b = 4.605 Å, c = 3.917 Å, α = 90.00°, β = 90.00° and γ = 90.00°. The inequivalent atoms are Mg at (0.000, 0.000, 0.000), Zr at (0.500, 0.500, 0.000), Ge at (0.000, 0.500, 0.500) and N at (0.000, 0.000, 0.500).

(2)
Here is NaMgGe3 after structural relaxation from Alexandria via LeMat-Bulk. Energies are from PBE-GGA.

As for the crystal system: cubic. The calculation puts the total magnetic moment at 0.00 μB/atom.

It has space group Pm-3m (No. 221), with a = 5.106 Å, b = 5.106 Å, c = 5.106 Å, α = 90.00°, β = 90.00° and γ = 90.00°. The inequivalent atoms are Na at (0.000, 0.000, 0.000), Mg at (0.500, 0.500, 0.500) and Ge at (0.000, 0.500, 0.500).

(3)
Here is Na3MgGe after structural relaxation from Alexandria via LeMat-Bulk. Energies are from PBE-GGA.

As for the crystal system: cubic. The calculation puts the total magnetic moment at 0.00 μB/atom.

It has space group Pm-3m (No. 221), with a = 5.620 Å, b = 5.620 Å, c = 5.620 Å, α = 90.00°, β = 90.00° and γ = 90.00°. The inequivalent atoms are Na at (0.000, 0.000, 0.500), Mg at (0.000, 0.000, 0.000) and Ge at (0.500, 0.500, 0.500).

(4)
Here is Na3MgGe after structural relaxation from Alexandria via LeMat-Bulk. Energies are from PBE-GGA.

As for the crystal system: monoclinic. The calculation puts the total magnetic moment at 0.00 μB/atom.

It has space group C2/m (No. 12), with a = 13.868 Å, b = 7.059 Å, c = 6.590 Å, α = 90.00°, β = 101.29° and γ = 90.00°. The inequivalent atoms are Na at (0.000, 0.000, 0.000), Na at (0.000, 0.241, 0.500), Na at (0.000, 0.500, 0.000), Na at (0.215, 0.500, 0.543), Mg at (0.250, 0.250, 0.000) and Ge at (0.153, 0.000, 0.748).

(5)
Here is Na3MgGe after structural relaxation from Alexandria via LeMat-Bulk. Energies are from PBE-GGA.

As for the crystal system: cubic. The calculation puts the total magnetic moment at 0.20 μB/atom.

It has space group Pm-3m (No. 221), with a = 5.640 Å, b = 5.640 Å, c = 5.640 Å, α = 90.00°, β = 90.00° and γ = 90.00°. The inequivalent atoms are Na at (0.000, 0.000, 0.500), Mg at (0.500, 0.500, 0.500) and Ge at (0.000, 0.000, 0.000).

(6)
Here is Na2Mg2Ge3 after structural relaxation from Alexandria via LeMat-Bulk. Energies are from PBE-GGA.

As for the crystal system: monoclinic. The calculation puts the total magnetic moment at 0.00 μB/atom.

It has space group C2/m (No. 12), with a = 12.074 Å, b = 4.393 Å, c = 7.339 Å, α = 90.00°, β = 124.68° and γ = 90.00°. The inequivalent atoms are Na at (0.154, 0.000, 0.287), Mg at (0.144, 0.000, 0.784), Ge at (0.000, 0.500, 0.500) and Ge at (0.080, 0.500, 0.944).

(7)
Here is NaMg3Ge after structural relaxation from Alexandria via LeMat-Bulk. Energies are from PBE-GGA.

As for the crystal system: cubic. The calculation puts the total magnetic moment at 0.00 μB/atom.

It has space group Pm-3m (No. 221), with a = 5.206 Å, b = 5.206 Å, c = 5.206 Å, α = 90.00°, β = 90.00° and γ = 90.00°. The inequivalent atoms are Na at (0.000, 0.000, 0.000), Mg at (0.000, 0.500, 0.500) and Ge at (0.500, 0.500, 0.500).

(8)
Here is NaMgGe3 after structural relaxation from Alexandria via LeMat-Bulk. Energies are from PBE-GGA.

As for the crystal system: cubic. The calculation puts the total magnetic moment at 0.00 μB/atom.

It has space group Pm-3m (No. 221), with a = 5.042 Å, b = 5.042 Å, c = 5.042 Å, α = 90.00°, β = 90.00° and γ = 90.00°. The inequivalent atoms are Na at (0.000, 0.000, 0.000), Mg at (0.500, 0.500, 0.500) and Ge at (0.000, 0.000, 0.500).

(9)
Here is NaMgGe after structural relaxation from Alexandria via LeMat-Bulk. Energies are from PBE-GGA.

As for the crystal system: cubic. The calculation puts the total magnetic moment at 0.00 μB/atom.

It has space group F-43m (No. 216), with a = 6.705 Å, b = 6.705 Å, c = 6.705 Å, α = 90.00°, β = 90.00° and γ = 90.00°. The inequivalent atoms are Na at (0.000, 0.000, 0.000), Mg at (0.000, 0.000, 0.500) and Ge at (0.250, 0.250, 0.750).

(10)
Here is NaMgGe after structural relaxation from Alexandria via LeMat-Bulk. Energies are from PBE-GGA.

As for the crystal system: hexagonal. The calculation puts the total magnetic moment at 0.00 μB/atom.

It has space group P-6m2 (No. 187), with a = 4.7316 Å, b = 4.7316 Å, c = 3.5918 Å, α = 90.00°, β = 90.00° and γ = 120.00°. The inequivalent atoms are Na at (0.0000, 0.0000, 0.0000), Mg at (0.3333, 0.6667, 0.5000) and Ge at (0.6667, 0.3333, 0.5000).

(11)
Here is NaMg3Ge after structural relaxation from Alexandria via LeMat-Bulk. Energies are from PBE-GGA.

As for the crystal system: cubic. The calculation puts the total magnetic moment at 0.00 μB/atom.

It has space group Pm-3m (No. 221), with a = 5.189 Å, b = 5.189 Å, c = 5.189 Å, α = 90.00°, β = 90.00° and γ = 90.00°. The inequivalent atoms are Na at (0.000, 0.000, 0.000), Mg at (0.000, 0.000, 0.500) and Ge at (0.500, 0.500, 0.500).

(12)
Here is NaMgGe after structural relaxation from Alexandria via LeMat-Bulk. Energies are from PBE-GGA.

As for the crystal system: tetragonal. The calculation puts the total magnetic moment at 0.00 μB/atom.

It has space group I4mm (No. 107), with a = 3.480 Å, b = 3.480 Å, c = 11.550 Å, α = 90.00°, β = 90.00° and γ = 90.00°. The inequivalent atoms are Na at (0.000, 0.000, 0.000), Mg at (0.000, 0.000, 0.708) and Ge at (0.000, 0.000, 0.329).

Number 1: N(E_F) 4.194 states/eV/cell, calculated density 5.49 g/cm3, energy -5.414 eV per atom. Number 2: N(E_F) 2.624 states/eV/cell, calculated density 3.31 g/cm3, energy -2.901 eV per atom. Number 3: N(E_F) 4.662 states/eV/cell, calculated density 1.55 g/cm3, energy -1.405 eV per atom. Number 4: N(E_F) 7.426 states/eV/cell, calculated density 1.74 g/cm3, energy -2.009 eV per atom. Number 5: N(E_F) 2.470 states/eV/cell, calculated density 1.54 g/cm3, energy -1.758 eV per atom. Number 6: N(E_F) 5.575 states/eV/cell, calculated density 3.24 g/cm3, energy -2.919 eV per atom. Number 7: N(E_F) 3.460 states/eV/cell, calculated density 1.98 g/cm3, energy -2.014 eV per atom. Number 8: N(E_F) 3.317 states/eV/cell, calculated density 3.44 g/cm3, energy -2.502 eV per atom. Number 9: N(E_F) 9.773 states/eV/cell, calculated density 2.64 g/cm3, energy -2.506 eV per atom. Number 10: N(E_F) 1.167 states/eV/cell, calculated density 2.86 g/cm3, energy -2.571 eV per atom. Number 11: N(E_F) 2.383 states/eV/cell, calculated density 2.00 g/cm3, energy -1.328 eV per atom. Number 12: N(E_F) 2.171 states/eV/cell, calculated density 2.85 g/cm3, energy -2.519 eV per atom.